No. 1
Entry from the Alexandria database: crystalline FeHg2O3F5 at its relaxed geometry (PBE with a Hubbard U).

Unit cell a=6.9783 b=6.9783 c=3.9573 alpha=90.00 beta=90.00 gamma=115.08
Fractional coordinates of all 11 atoms:
Fe: 0.9937 0.0063 0.0000
Hg: 0.4961 0.0014 0.5000
Hg: 0.9986 0.5039 0.5000
O: 0.6681 0.3319 0.5000
O: 0.3295 0.6705 0.5000
O: 0.5649 0.4351 0.0000
F: 0.6947 0.9418 0.0000
F: 0.2948 0.0665 0.0000
F: 0.9335 0.7052 0.0000
F: 0.0582 0.3053 0.0000
F: 0.9950 0.0050 0.5000

Results
As for the total DFT energy (no corrections): -3.693 eV per atom. The volume is 174.5 Å³/f.u.

***

No. 2
Entry from the Alexandria database: crystalline FeHgOF2 at its relaxed geometry (PBE with a Hubbard U).

Unit cell a=4.5032 b=4.5032 c=4.2541 alpha=90.00 beta=90.00 gamma=90.00
Fractional coordinates of all 5 atoms:
F: 0.0000 0.5000 0.0000
F: 0.5000 0.0000 0.0000
Hg: 0.0000 0.0000 0.0000
O: 0.0000 0.0000 0.5000
Fe: 0.5000 0.5000 0.5000

Results
Its excess energy over the best structure of this formula in the dataset is 20.360 kcal/mol of atoms. As for the total DFT energy (no corrections): -3.398 eV per atom. The volume is 86.3 Å³/f.u.

***

Question: Which value of volume does entry 2 give?
Answer: 86.3 Å³/f.u.